Material: B3C5
Method: DFT, PBE
State: optimized geometry

Geometry as extended XYZ:
```
8
Lattice="4.128 -1.292 0.000 4.128 1.292 0.000 -0.165 0.000 4.710" Properties=species:S:1:pos:R:3 pbc="T T T"
B 0.000 0.000 0.000
B -0.018 0.000 3.058
B 6.423 0.000 3.574
C 1.540 0.000 4.343
C 2.250 0.000 1.136
C 3.743 0.000 0.905
C 4.482 0.000 2.182
C 5.980 0.000 1.942
```

Its energy relative to the lowest polymorph listed for this composition is 0.468 eV per formula unit. Its space group is Cm.



Material: BC
Method: DFT, PBE
State: optimized geometry

Geometry as extended XYZ:
```
12
Lattice="3.576 0.000 0.000 0.198 3.574 0.000 1.738 0.049 6.324" Properties=species:S:1:pos:R:3 pbc="T T T"
B 0.000 0.000 0.000
B 0.931 2.803 2.763
B 1.849 1.944 4.113
B 2.631 1.001 2.768
B 3.632 3.606 4.128
B 4.249 1.187 5.149
C 0.866 1.027 0.888
C 2.727 2.790 5.235
C 1.690 0.104 1.773
C 3.541 1.926 6.323
C 2.706 2.768 0.894
C 3.580 1.887 1.778
```

Its energy relative to the lowest polymorph listed for this composition is 0.535 eV per formula unit. Its space group is P1.



Material: B7C5
Method: DFT, PBE
State: optimized geometry

Geometry as extended XYZ:
```
12
Lattice="2.666 0.000 0.000 0.000 2.731 0.000 0.000 0.000 11.852" Properties=species:S:1:pos:R:3 pbc="T T T"
B 0.000 0.000 0.000
B 0.000 0.000 3.337
B 0.000 0.000 7.798
B 0.000 1.365 4.846
B 1.333 0.000 6.405
B 1.333 0.000 10.400
B 1.333 1.365 1.729
C 0.000 1.365 0.697
C 0.000 1.365 8.677
C 1.333 0.000 2.640
C 1.333 1.365 5.580
C 1.333 1.365 9.565
```

Its energy relative to the lowest polymorph listed for this composition is 2.700 eV per formula unit. Its space group is Pmm2.



Q: Which value of energy relative to the lowest polymorph listed for this composition does entry 1 give?
A: 0.468 eV per formula unit



Q: Which formula does entry 1 have?
A: B3C5